First-principles (PBE-GGA) data for a geometry-optimized AgP6Pd structure, as listed in the Open Quantum Materials Database.

Summary:
- Space group: No. 216
- E: -4.4473 eV/atom

Cell: 6.006 6.006 6.006 Å, 60.00 60.00 60.00°
Element x y z (fractional)
1 Pd 0.250 0.250 0.250
2 P 0.956 0.544 0.956
3 P 0.544 0.956 0.956
4 P 0.956 0.544 0.544
5 P 0.956 0.956 0.544
6 P 0.544 0.956 0.544
7 P 0.544 0.544 0.956
8 Ag 0.500 0.500 0.500



First-principles (PBE-GGA) data for a geometry-optimized Na4InSiPt2 structure, as listed in the Open Quantum Materials Database.

Summary:
- M_tot: 0.00 μB/atom
- Space group: No. 115
- E: -3.3486 eV/atom

Cell: 4.623 4.623 6.841 Å, 90.00 90.00 90.00°
Element x y z (fractional)
1 Na 0.000 0.500 0.263
2 Na 0.500 0.500 0.000
3 Na 0.000 0.000 0.500
4 Na 0.500 0.000 0.737
5 Pt 0.500 0.000 0.280
6 Pt 0.000 0.500 0.720
7 Si 0.500 0.500 0.500
8 In 0.000 0.000 0.000



First-principles (PBE-GGA) data for a geometry-optimized YErIn4Au2 structure, as listed in the Open Quantum Materials Database.

Summary:
- M_tot: 0.00 μB/atom
- Space group: No. 38
- E: -4.0572 eV/atom

Cell: 7.243 5.915 5.915 Å, 46.11 90.00 90.00°
Element x y z (fractional)
1 Y 0.500 0.583 0.583
2 In 0.206 0.129 0.129
3 In 0.794 0.129 0.129
4 In 0.707 0.871 0.871
5 In 0.293 0.871 0.871
6 Au 0.500 0.301 0.301
7 Au 0.000 0.698 0.698
8 Er 0.000 0.418 0.418